Record 1
# MgClF2 PBE relaxed
data_MgClF2
_space_group_name_H-M_alt 'R -3 m'
_space_group_IT_number 166
_space_group_name_Hall '-R 3 2"'
_cell_length_a 3.0330
_cell_length_b 3.0330
_cell_length_c 27.3224
_cell_angle_alpha 90.00
_cell_angle_beta 90.00
_cell_angle_gamma 120.00
loop_
_atom_site_label
_atom_site_type_symbol
_atom_site_fract_x
_atom_site_fract_y
_atom_site_fract_z
_atom_site_occupancy
Mg1 Mg 0.0000 0.0000 0.0000 1
Cl1 Cl 0.0000 0.0000 0.5000 1
F1 F 0.0000 0.0000 0.3688 1
# Raw formation energy = -2.38 eV/atom
# Raw total energy = -50.11 eV for the cell shown

---

Record 2
# La5Sc4 PBE relaxed
data_La5Sc4
_space_group_name_H-M_alt 'P 63/m c m'
_space_group_IT_number 193
_space_group_name_Hall '-P 6c 2'
_cell_length_a 9.6771
_cell_length_b 9.6771
_cell_length_c 6.9904
_cell_angle_alpha 90.00
_cell_angle_beta 90.00
_cell_angle_gamma 120.00
loop_
_atom_site_label
_atom_site_type_symbol
_atom_site_fract_x
_atom_site_fract_y
_atom_site_fract_z
_atom_site_occupancy
La1 La 0.0000 0.3089 0.2500 1
La2 La 0.3333 0.6667 0.0000 1
Sc1 Sc 0.0000 0.0000 0.0000 1
Sc2 Sc 0.0000 0.3385 0.7500 1
# Raw total energy = -97.85 eV for the cell shown
# Energy of formation = 0.12 eV per atom

---

Record 3
# K2Na3Tl2 PBE relaxed
data_K2Na3Tl2
_space_group_name_H-M_alt 'C 1 2/m 1'
_space_group_IT_number 12
_space_group_name_Hall '-C 2y'
_cell_length_a 13.039
_cell_length_b 5.426
_cell_length_c 9.141
_cell_angle_alpha 90.00
_cell_angle_beta 119.50
_cell_angle_gamma 90.00
loop_
_atom_site_label
_atom_site_type_symbol
_atom_site_fract_x
_atom_site_fract_y
_atom_site_fract_z
_atom_site_occupancy
K1 K 0.153 0.000 0.282 1
Na1 Na 0.000 0.500 0.500 1
Na2 Na 0.144 0.500 0.937 1
Tl1 Tl 0.117 0.000 0.685 1
# Raw total energy = -22.67 eV for the cell shown
# Energy of formation = -0.06 eV per atom

---

Record 4
# CrCdAs2 PBE relaxed
data_CrCdAs2
_space_group_name_H-M_alt 'P 4/m m m'
_space_group_IT_number 123
_space_group_name_Hall '-P 4 2'
_cell_length_a 3.032
_cell_length_b 3.032
_cell_length_c 8.117
_cell_angle_alpha 90.00
_cell_angle_beta 90.00
_cell_angle_gamma 90.00
loop_
_atom_site_label
_atom_site_type_symbol
_atom_site_fract_x
_atom_site_fract_y
_atom_site_fract_z
_atom_site_occupancy
Cr1 Cr 0.000 0.000 0.000 1
Cd1 Cd 0.000 0.000 0.500 1
As1 As 0.500 0.500 0.175 1
# Raw total energy = -19.57 eV for the cell shown
# Energy of formation = 0.07 eV per atom

---

Record 5
# Re2SbOs PBE relaxed
data_Re2SbOs
_space_group_name_H-M_alt 'I -4 2 d'
_space_group_IT_number 122
_space_group_name_Hall 'I -4 2bw'
_cell_length_a 5.832
_cell_length_b 5.832
_cell_length_c 11.488
_cell_angle_alpha 90.00
_cell_angle_beta 90.00
_cell_angle_gamma 90.00
loop_
_atom_site_label
_atom_site_type_symbol
_atom_site_fract_x
_atom_site_fract_y
_atom_site_fract_z
_atom_site_occupancy
Re1 Re 0.217 0.250 0.125 1
Sb1 Sb 0.000 0.000 0.500 1
Os1 Os 0.000 0.000 0.000 1
# Raw formation energy = 1.26 eV/atom
# Raw total energy = -140.81 eV for the cell shown

---

Record 6
# Cs2HfSnTe5 PBE relaxed
data_Cs2HfSnTe5
_space_group_name_H-M_alt 'C m c 21'
_space_group_IT_number 36
_space_group_name_Hall 'C 2c -2'
_cell_length_a 4.380
_cell_length_b 22.513
_cell_length_c 16.320
_cell_angle_alpha 90.00
_cell_angle_beta 90.00
_cell_angle_gamma 90.00
loop_
_atom_site_label
_atom_site_type_symbol
_atom_site_fract_x
_atom_site_fract_y
_atom_site_fract_z
_atom_site_occupancy
Cs1 Cs 0.000 0.128 0.000 1
Cs2 Cs 0.000 0.140 0.369 1
Hf1 Hf 0.000 0.207 0.705 1
Sn1 Sn 0.000 0.431 0.092 1
Te1 Te 0.000 0.067 0.706 1
Te2 Te 0.000 0.305 0.076 1
Te3 Te 0.000 0.311 0.318 1
Te4 Te 0.000 0.325 0.683 1
Te5 Te 0.000 0.492 0.951 1
# Raw formation energy = -0.72 eV/atom
# Raw total energy = -151.35 eV for the cell shown

---

Record 7
# RbHfMg14O15 PBE relaxed
data_RbHfMg14O15
_space_group_name_H-M_alt 'P m m 2'
_space_group_IT_number 25
_space_group_name_Hall 'P 2 -2'
_cell_length_a 4.409
_cell_length_b 8.873
_cell_length_c 8.755
_cell_angle_alpha 90.00
_cell_angle_beta 90.00
_cell_angle_gamma 90.00
loop_
_atom_site_label
_atom_site_type_symbol
_atom_site_fract_x
_atom_site_fract_y
_atom_site_fract_z
_atom_site_occupancy
Rb1 Rb 0.000 0.000 0.000 1
Hf1 Hf 0.000 0.500 0.458 1
Mg1 Mg 0.000 0.000 0.447 1
Mg2 Mg 0.000 0.236 0.710 1
Mg3 Mg 0.000 0.262 0.198 1
Mg4 Mg 0.000 0.500 0.943 1
Mg5 Mg 0.500 0.000 0.223 1
Mg6 Mg 0.500 0.000 0.698 1
Mg7 Mg 0.500 0.242 0.455 1
Mg8 Mg 0.500 0.249 0.944 1
Mg9 Mg 0.500 0.500 0.188 1
Mg10 Mg 0.500 0.500 0.711 1
O1 O 0.000 0.000 0.676 1
O2 O 0.000 0.261 0.456 1
O3 O 0.000 0.279 0.949 1
O4 O 0.000 0.500 0.208 1
O5 O 0.000 0.500 0.699 1
O6 O 0.500 0.000 0.458 1
O7 O 0.500 0.000 0.921 1
O8 O 0.500 0.253 0.201 1
O9 O 0.500 0.255 0.697 1
O10 O 0.500 0.500 0.453 1
O11 O 0.500 0.500 0.950 1
# Raw formation energy = -2.33 eV/atom
# Raw total energy = -179.92 eV for the cell shown

---

Record 8
# DyHoCoCu PBE relaxed
data_DyHoCoCu
_space_group_name_H-M_alt 'A m m 2'
_space_group_IT_number 38
_space_group_name_Hall 'A 2 -2'
_cell_length_a 4.215
_cell_length_b 3.788
_cell_length_c 10.177
_cell_angle_alpha 90.00
_cell_angle_beta 90.00
_cell_angle_gamma 90.00
loop_
_atom_site_label
_atom_site_type_symbol
_atom_site_fract_x
_atom_site_fract_y
_atom_site_fract_z
_atom_site_occupancy
Dy1 Dy 0.000 0.000 0.000 1
Ho1 Ho 0.500 0.000 0.719 1
Co1 Co 0.000 0.000 0.286 1
Cu1 Cu 0.500 0.000 0.426 1
# Raw total energy = -42.58 eV for the cell shown
# Energy of formation = -0.23 eV per atom

---

Record 9
# Sc6Te3P2S PBE relaxed
data_Sc6Te3P2S
_space_group_name_H-M_alt 'C 1 2/m 1'
_space_group_IT_number 12
_space_group_name_Hall '-C 2y'
_cell_length_a 17.402
_cell_length_b 3.890
_cell_length_c 8.015
_cell_angle_alpha 90.00
_cell_angle_beta 105.80
_cell_angle_gamma 90.00
loop_
_atom_site_label
_atom_site_type_symbol
_atom_site_fract_x
_atom_site_fract_y
_atom_site_fract_z
_atom_site_occupancy
Sc1 Sc 0.012 0.000 0.226 1
Sc2 Sc 0.158 0.500 0.111 1
Sc3 Sc 0.177 0.500 0.558 1
Te1 Te 0.000 0.500 0.500 1
Te2 Te 0.166 0.000 0.834 1
P1 P 0.167 0.000 0.333 1
S1 S 0.000 0.500 0.000 1
# Raw formation energy = -1.44 eV/atom
# Raw total energy = -159.22 eV for the cell shown

---

Record 10
# Th2ScCu PBE relaxed
data_Th2ScCu
_space_group_name_H-M_alt 'R -3 m'
_space_group_IT_number 166
_space_group_name_Hall '-R 3 2"'
_cell_length_a 3.3549
_cell_length_b 3.3549
_cell_length_c 32.9247
_cell_angle_alpha 90.00
_cell_angle_beta 90.00
_cell_angle_gamma 120.00
loop_
_atom_site_label
_atom_site_type_symbol
_atom_site_fract_x
_atom_site_fract_y
_atom_site_fract_z
_atom_site_occupancy
Th1 Th 0.0000 0.0000 0.0963 1
Sc1 Sc 0.0000 0.0000 0.0000 1
Cu1 Cu 0.0000 0.0000 0.5000 1
# Raw total energy = -71.94 eV for the cell shown
# Energy of formation = 0.32 eV per atom

---

Record 11
# Ti3Be4Ge2 PBE relaxed
data_Ti3Be4Ge2
_space_group_name_H-M_alt 'C 1 2/m 1'
_space_group_IT_number 12
_space_group_name_Hall '-C 2y'
_cell_length_a 8.937
_cell_length_b 3.819
_cell_length_c 7.236
_cell_angle_alpha 90.00
_cell_angle_beta 113.70
_cell_angle_gamma 90.00
loop_
_atom_site_label
_atom_site_type_symbol
_atom_site_fract_x
_atom_site_fract_y
_atom_site_fract_z
_atom_site_occupancy
Ti1 Ti 0.000 0.000 0.000 1
Ti2 Ti 0.166 0.500 0.669 1
Be1 Be 0.038 0.000 0.381 1
Be2 Be 0.236 0.500 0.059 1
Ge1 Ge 0.112 0.500 0.277 1
# Raw total energy = -102.65 eV for the cell shown
# Energy of formation = -0.39 eV per atom

---

Record 12
# Nd2ScGa PBE relaxed
data_Nd2ScGa
_space_group_name_H-M_alt 'P 4/m m m'
_space_group_IT_number 123
_space_group_name_Hall '-P 4 2'
_cell_length_a 4.737
_cell_length_b 4.737
_cell_length_c 4.700
_cell_angle_alpha 90.00
_cell_angle_beta 90.00
_cell_angle_gamma 90.00
loop_
_atom_site_label
_atom_site_type_symbol
_atom_site_fract_x
_atom_site_fract_y
_atom_site_fract_z
_atom_site_occupancy
Nd1 Nd 0.000 0.500 0.000 1
Sc1 Sc 0.000 0.000 0.500 1
Ga1 Ga 0.500 0.500 0.500 1
# Raw total energy = -19.84 eV for the cell shown
# Energy of formation = -0.24 eV per atom